The following is a PBE-GGA calculation of Al2CoAg after structural relaxation, from the Alexandria database.

Geometry as POSCAR:
```
Al2CoAg
1.0
-1.848 1.848 4.133
1.848 -1.848 4.133
1.848 1.848 -4.133
Al Co Ag
2 1 1
Direct
0.000 0.000 0.000
0.750 0.250 0.500
0.250 0.750 0.500
0.500 0.500 0.000
```

Output
The space group is I-4m2. For the distance to the lowest polymorph of the same formula, the calculation gives 175 meV per atom.

***

The following is a PBE-GGA calculation of AlCo3Ag after structural relaxation, from the Alexandria database.

Geometry as POSCAR:
```
AlCo3Ag
1.0
4.605 0.000 0.000
0.000 4.605 0.000
0.000 0.000 4.605
Al Co Ag
1 3 1
Direct
0.000 0.000 0.000
0.000 0.500 0.500
0.500 0.000 0.500
0.500 0.500 0.000
0.500 0.500 0.500
```

Output
The space group is Pm-3m. For the distance to the lowest polymorph of the same formula, the calculation gives 642 meV per atom.

***

The following is a PBE-GGA calculation of AlCo2Ag2 after structural relaxation, from the Alexandria database.

Geometry as POSCAR:
```
AlCo2Ag2
1.0
-1.839 1.839 6.080
1.839 -1.839 6.080
1.839 1.839 -6.080
Al Co Ag
1 2 2
Direct
0.000 0.000 0.000
0.413 0.413 0.000
0.587 0.587 0.000
0.250 0.750 0.500
0.750 0.250 0.500
```

Output
The space group is I4/mmm. For the distance to the lowest polymorph of the same formula, the calculation gives 139 meV per atom.

***

The following is a PBE-GGA calculation of Al2CoAg after structural relaxation, from the Alexandria database.

Geometry as POSCAR:
```
Al2CoAg
1.0
-1.534 2.084 4.483
1.534 -2.084 4.483
1.534 2.084 -4.483
Al Co Ag
2 1 1
Direct
0.000 0.000 0.000
0.726 0.226 0.500
0.210 0.710 0.500
0.462 0.462 0.000
```

Output
The space group is Imm2. For the distance to the lowest polymorph of the same formula, the calculation gives 163 meV per atom.

***

The following is a PBE-GGA calculation of AlCo2Ag after structural relaxation, from the Alexandria database.

Geometry as POSCAR:
```
AlCo2Ag
1.0
2.751 0.000 0.000
0.000 3.538 0.000
-0.014 0.000 5.498
Al Co Ag
1 2 1
Direct
0.000 0.000 0.000
0.500 0.500 0.211
0.500 0.500 0.789
0.000 0.000 0.500
```

Output
The space group is P2/m. Its total energy is -0.189 hartree per atom.

***

The following is a PBE-GGA calculation of AlCo2Ag after structural relaxation, from the Alexandria database.

Geometry as POSCAR:
```
AlCo2Ag
1.0
0.000 2.992 2.992
2.992 0.000 2.992
2.992 2.992 0.000
Al Co Ag
1 2 1
Direct
0.000 0.000 0.000
0.500 0.500 0.500
0.750 0.750 0.750
0.250 0.250 0.250
```

Output
The space group is F-43m. Its total energy is -0.188 hartree per atom.

***

The following is a PBE-GGA calculation of AlCo2Ag2 after structural relaxation, from the Alexandria database.

Geometry as POSCAR:
```
AlCo2Ag2
1.0
-1.636 1.636 7.352
1.636 -1.636 7.352
1.636 1.636 -7.352
Al Co Ag
1 2 2
Direct
0.000 0.000 0.000
0.250 0.750 0.500
0.750 0.250 0.500
0.400 0.400 0.000
0.600 0.600 0.000
```

Output
The space group is I4/mmm. For the distance to the lowest polymorph of the same formula, the calculation gives 0 meV per atom.

***

The following is a PBE-GGA calculation of Al3Co2Ag after structural relaxation, from the Alexandria database.

Geometry as POSCAR:
```
Al3Co2Ag
1.0
2.837 0.000 0.000
0.000 2.837 0.000
0.000 0.000 9.912
Al Co Ag
3 2 1
Direct
0.000 0.000 0.000
0.000 0.000 0.291
0.000 0.000 0.709
0.500 0.500 0.149
0.500 0.500 0.851
0.500 0.500 0.500
```

Output
The space group is P4/mmm. Its total energy is -0.188 hartree per atom.

***

DOS at the Fermi energy (computed, states/eV/atom): 0.4990; 3.9356; 0.8972; 0.2686; 1.0659; 0.9590; 0.8209; 0.4683